[1]
# LaNdY2Sc

LaNdY2Sc after structural relaxation (PBE-GGA, Alexandria).

Its energy of formation from the pure elements is 0.055 eV per atom. The value obtained for the total energy is -5.735 eV/atom. As for the space group: P2_1/m. Its crystal system is monoclinic.

Cell and atoms, written as POSCAR:
```
LaNdY2Sc
1.0
7.8985 0.0000 0.0000
0.0000 5.0909 0.0000
-0.0686 0.0000 8.0018
La Nd Y Sc
2 2 4 2
Direct
0.2410 0.2500 0.2384
0.7590 0.7500 0.7616
0.4456 0.2500 0.6521
0.5544 0.7500 0.3479
0.1473 0.7500 0.5455
0.3380 0.7500 0.9471
0.6620 0.2500 0.0529
0.8527 0.2500 0.4545
0.0491 0.2500 0.8490
0.9509 0.7500 0.1510
```

---

[2]
# LaNd5Y2Sc

LaNd5Y2Sc after structural relaxation (PBE-GGA, Alexandria).

Its energy of formation from the pure elements is 0.159 eV per atom. The value obtained for the total energy is -5.177 eV/atom. As for the space group: Cmc2_1. Its crystal system is orthorhombic.

Cell and atoms, written as POSCAR:
```
LaNd5Y2Sc
1.0
2.8635 -10.1014 0.0000
2.8635 10.1014 0.0000
0.0000 0.0000 10.5640
La Nd Y Sc
2 10 4 2
Direct
0.0874 0.9126 0.5000
0.9126 0.0874 0.0000
0.0140 0.9860 0.7841
0.1243 0.8757 0.0603
0.2021 0.7979 0.7484
0.2230 0.7770 0.3640
0.4812 0.5188 0.0606
0.5188 0.4812 0.5606
0.7770 0.2230 0.8640
0.7979 0.2021 0.2484
0.8757 0.1243 0.5603
0.9860 0.0140 0.2841
0.3840 0.6160 0.7760
0.3882 0.6118 0.3539
0.6118 0.3882 0.8539
0.6160 0.3840 0.2760
0.3037 0.6963 0.0556
0.6963 0.3037 0.5556
```

---

[3]
# LaNd3Y6Sc2

LaNd3Y6Sc2 after structural relaxation (PBE-GGA, Alexandria).

Its energy of formation from the pure elements is 0.043 eV per atom. The value obtained for the total energy is -5.847 eV/atom. As for the space group: C2/m. Its crystal system is monoclinic.

Cell and atoms, written as POSCAR:
```
LaNd3Y6Sc2
1.0
3.0863 -5.3433 0.0000
3.0863 5.3433 0.0000
-2.0442 0.0000 11.6332
La Nd Y Sc
1 3 6 2
Direct
0.0000 0.0000 0.0000
0.1673 0.8327 0.5000
0.5000 0.5000 0.5000
0.8327 0.1673 0.5000
0.0825 0.4190 0.2446
0.2547 0.2547 0.7551
0.4190 0.0825 0.2446
0.5810 0.9175 0.7554
0.7453 0.7453 0.2449
0.9175 0.5810 0.7554
0.3334 0.6666 0.0000
0.6666 0.3334 0.0000
```

---

Question: energy of formation from the pure elements of number 3 (LaNd3Y6Sc2)?
Answer: 0.043 eV per atom

---

Question: Which formula does entry 1 have?
Answer: LaNdY2Sc

---

Question: What is the energy of formation from the pure elements in the first record?
Answer: 0.055 eV per atom